1.
Here is crystalline AcYSe2S at its relaxed geometry from the Alexandria database. Energies are from PBE-GGA.

Cell: 4.343 4.343 14.930 Å, 90.00 90.00 90.00°
Fractional positions:
Se 0.000 0.500 0.093
S 0.500 0.500 0.500
Se 0.500 0.000 0.284
Ac 0.500 0.000 0.629
S 0.000 0.000 0.500
Y 0.500 0.000 0.103
Ac 0.000 0.500 0.371
Se 0.000 0.500 0.716
Y 0.000 0.500 0.897
Se 0.500 0.000 0.907

Calculated values
DOS at the Fermi energy ... 0.350 states/eV/atom

=====

2.
Here is crystalline Ac2YSe2S2 at its relaxed geometry from the Alexandria database. Energies are from PBE-GGA.

Cell: 5.090 5.090 8.677 Å, 107.06 107.06 90.00°
Fractional positions:
Se 0.180 0.180 0.360
S 0.500 0.000 0.000
Se 0.820 0.820 0.640
Ac 0.371 0.371 0.742
Y 0.000 0.000 0.000
S 0.000 0.500 0.000
Ac 0.629 0.629 0.258

Calculated values
DOS at the Fermi energy ... 0.359 states/eV/atom

=====

3.
Here is crystalline Ac3SiS2 at its relaxed geometry from the Alexandria database. Energies are from PBE-GGA.

Cell: 6.232 8.835 13.255 Å, 90.00 90.00 90.00°
Fractional positions:
Ac 0.250 0.123 0.583
S 0.251 0.374 0.748
S 0.750 0.122 0.584
Ac 0.250 0.126 0.917
Ac 0.750 0.377 0.083
Ac 0.751 0.876 0.752
Ac 0.750 0.374 0.417
Ac 0.250 0.623 0.917
S 0.250 0.378 0.084
S 0.251 0.874 0.752
Si 0.250 0.868 0.083
S 0.750 0.622 0.916
Ac 0.250 0.626 0.583
S 0.749 0.126 0.248
Ac 0.249 0.124 0.248
Si 0.250 0.368 0.417
Si 0.750 0.632 0.583
Ac 0.750 0.877 0.417
Ac 0.750 0.874 0.083
Si 0.750 0.132 0.917
S 0.250 0.878 0.416
Ac 0.249 0.624 0.252
Ac 0.751 0.376 0.748
S 0.749 0.626 0.252

Calculated values
DOS at the Fermi energy ... 0.311 states/eV/atom

=====

4.
Here is crystalline Ac8Si5S at its relaxed geometry from the Alexandria database. Energies are from PBE-GGA.

Cell: 8.334 8.334 8.334 Å, 109.67 109.08 109.67°
Fractional positions:
Ac 0.261 0.256 0.379
Ac 0.621 0.881 0.876
Ac 0.121 0.753 0.502
Si 0.876 0.879 0.249
Si 0.002 0.373 0.124
Ac 0.749 0.247 0.368
Ac 0.632 0.381 0.879
Ac 0.498 0.619 0.251
Si 0.371 0.121 0.998
Si 0.751 0.627 0.629
Si 0.500 0.000 0.500
Ac 0.995 0.119 0.739
Ac 0.124 0.744 0.005
S 0.250 0.500 0.750

Calculated values
DOS at the Fermi energy ... 0.813 states/eV/atom

=====

5.
Here is crystalline AcSi2S6 at its relaxed geometry from the Alexandria database. Energies are from PBE-GGA.

Cell: 6.374 8.574 8.574 Å, 85.35 77.23 77.23°
Site moments in Bohr magnetons follow the coordinates.
Fractional positions:
S 0.481 0.436 0.862  0.26
S 0.683 0.940 0.824  0.01
S 0.183 0.824 0.940  0.01
S 0.981 0.862 0.436  0.26
Si 0.210 0.227 0.356  0.00
S 0.016 0.560 0.720  0.02
Si 0.290 0.644 0.773  0.00
Ac 0.250 0.164 0.836  0.02
Ac 0.750 0.836 0.164  0.02
S 0.519 0.564 0.138  0.26
S 0.484 0.280 0.440  0.02
S 0.516 0.720 0.560  0.02
S 0.984 0.440 0.280  0.02
S 0.817 0.176 0.060  0.01
S 0.019 0.138 0.564  0.26
Si 0.790 0.773 0.644  0.00
Si 0.710 0.356 0.227  0.00
S 0.317 0.060 0.176  0.01

Calculated values
DOS at the Fermi energy ... 0.075 states/eV/atom

=====

6.
Here is crystalline AcSiS3 at its relaxed geometry from the Alexandria database. Energies are from PBE-GGA.

Cell: 6.808 7.852 9.414 Å, 90.00 92.24 90.00°
Fractional positions:
Si 0.927 0.899 0.568
S 0.165 0.681 0.954
Ac 0.961 0.625 0.249
S 0.868 0.309 0.433
S 0.368 0.191 0.933
Ac 0.039 0.375 0.751
Si 0.573 0.399 0.932
S 0.621 0.506 0.730
Ac 0.539 0.125 0.251
S 0.879 0.006 0.770
S 0.335 0.181 0.546
Ac 0.461 0.875 0.749
S 0.632 0.809 0.067
S 0.121 0.994 0.230
S 0.379 0.494 0.270
S 0.835 0.319 0.046
Si 0.073 0.101 0.432
S 0.665 0.819 0.454
S 0.132 0.691 0.567
Si 0.427 0.601 0.068

Calculated values
DOS at the Fermi energy ... 0.000 states/eV/atom

=====

7.
Here is crystalline Ac2Si2S7 at its relaxed geometry from the Alexandria database. Energies are from PBE-GGA.

Cell: 6.008 7.347 7.347 Å, 101.74 96.30 96.30°
Fractional positions:
S 0.000 0.000 0.000
S 0.229 0.376 0.376
S 0.743 0.406 0.093
S 0.257 0.907 0.594
S 0.257 0.594 0.907
S 0.743 0.093 0.406
Si 0.076 0.777 0.777
Si 0.924 0.223 0.223
Ac 0.500 0.293 0.707
Ac 0.500 0.707 0.293
S 0.771 0.624 0.624

Calculated values
DOS at the Fermi energy ... 0.000 states/eV/atom

=====

8.
Here is crystalline Ac5SiS4 at its relaxed geometry from the Alexandria database. Energies are from PBE-GGA.

Cell: 6.176 7.581 7.581 Å, 80.45 65.96 65.96°
Fractional positions:
Ac 0.300 0.801 0.601
Ac 0.101 0.601 0.199
Ac 0.901 0.399 0.801
Ac 0.702 0.199 0.399
S 0.603 0.597 0.199
S 0.802 0.801 0.597
S 0.200 0.199 0.403
S 0.399 0.403 0.801
Ac 0.501 0.000 0.000
Si 0.001 0.000 0.000

Calculated values
DOS at the Fermi energy ... 0.499 states/eV/atom

=====

9.
Here is crystalline Ac2SiS4 at its relaxed geometry from the Alexandria database. Energies are from PBE-GGA.

Cell: 6.661 6.661 6.174 Å, 122.65 122.65 90.00°
Fractional positions:
Ac 0.250 0.750 0.500
S 0.254 0.254 0.000
S 0.746 0.254 0.000
S 0.254 0.746 0.000
S 0.746 0.746 0.000
Ac 0.750 0.250 0.500
Si 0.500 0.500 0.000

Calculated values
DOS at the Fermi energy ... 0.411 states/eV/atom

=====

10.
Here is crystalline Ac6SiS5 at its relaxed geometry from the Alexandria database. Energies are from PBE-GGA.

Cell: 7.574 7.551 7.554 Å, 60.01 80.46 70.64°
Fractional positions:
S 0.000 0.667 0.665
Ac 0.248 0.250 0.000
Ac 0.752 0.750 0.000
Si 0.000 0.000 0.000
Ac 0.249 0.917 0.668
S 0.500 0.835 0.330
Ac 0.249 0.585 0.332
Ac 0.751 0.083 0.332
S 0.500 0.165 0.670
Ac 0.751 0.415 0.668
S 0.500 0.500 0.000
S 0.000 0.333 0.335

Calculated values
DOS at the Fermi energy ... 0.462 states/eV/atom

=====

11.
Here is crystalline Ac6Si3S14 at its relaxed geometry from the Alexandria database. Energies are from PBE-GGA.

Cell: 5.908 10.746 10.746 Å, 120.00 90.00 90.00°
Fractional positions:
Ac 0.240 0.782 0.100
S 0.475 0.267 0.456
S 0.729 0.742 0.179
S 0.465 0.000 0.000
S 0.729 0.821 0.563
Ac 0.753 0.547 0.579
S 0.729 0.437 0.258
Si 0.531 0.667 0.333
S 0.963 0.790 0.862
S 0.475 0.190 0.733
S 0.963 0.071 0.210
Ac 0.240 0.900 0.681
Ac 0.753 0.421 0.968
Ac 0.240 0.319 0.218
S 0.242 0.930 0.417
Ac 0.753 0.032 0.453
S 0.963 0.138 0.929
Si 0.823 0.000 0.000
S 0.242 0.487 0.070
S 0.242 0.583 0.513
S 0.475 0.544 0.810
Si 0.339 0.333 0.667
S 0.980 0.333 0.667

=====

12.
Here is crystalline Ac4SiS3 at its relaxed geometry from the Alexandria database. Energies are from PBE-GGA.

Cell: 6.196 6.196 6.196 Å, 90.00 90.00 90.00°
Fractional positions:
Si 0.000 0.000 0.000
Ac 0.500 0.000 0.000
Ac 0.500 0.500 0.500
Ac 0.000 0.000 0.500
S 0.500 0.500 0.000
Ac 0.000 0.500 0.000
S 0.000 0.500 0.500
S 0.500 0.000 0.500

Calculated values
DOS at the Fermi energy ... 0.473 states/eV/atom

=====

What did we get for uncorrected formation energy? Answer: -9.1, -12.9, -9.4, -9.7, -8.0, -7.3, -13.4, -17.6, -10.0, -21.6, -38.0, -13.6 eV per formula unit, in the order shown.